DFT (PBE) results for crystalline Sr2LiMgAu6 at its relaxed geometry.

theoretical density	9.57	g/cm³
total DFT energy (no corrections)	-31.715	eV for the cell shown
crystal system	triclinic
calculated formation energy	-518	meV/atom

Unit cell a=6.4369 b=7.5148 c=6.9664 alpha=57.84 beta=68.52 gamma=97.80
With the nearest neighbours (Å) after each atom.
Element x y z (fractional)
Sr 0.1318 0.7175 0.5735  6 Au 3.17-3.40, 1 Li 3.49
Sr 0.8682 0.2825 0.4265  6 Au 3.17-3.40, 1 Li 3.49
Li 0.5000 0.5000 0.0000  6 Au 2.56-2.62
Mg 0.0000 0.0000 0.0000  6 Au 2.70-2.73
Au 0.3259 0.8091 0.9412  1 Li 2.62, 1 Mg 2.73, 2 Au 2.81-2.86
Au 0.5650 0.6634 0.2269  1 Li 2.57, 1 Mg 2.70, 1 Au 2.81
Au 0.3231 0.1755 0.4956  1 Li 2.56, 1 Mg 2.72, 1 Au 2.86
Au 0.6741 0.1909 0.0588  1 Li 2.62, 1 Mg 2.73, 2 Au 2.81-2.86
Au 0.4350 0.3366 0.7731  1 Li 2.57, 1 Mg 2.70, 1 Au 2.81
Au 0.6769 0.8245 0.5044  1 Li 2.56, 1 Mg 2.72, 1 Au 2.86

DFT (PBE) results for crystalline Li3TlBi3 at its relaxed geometry.

theoretical density	6.33	g/cm³
total DFT energy (no corrections)	-36.978	eV for the cell shown
crystal system	cubic
calculated formation energy	180	meV/atom

Unit cell a=7.6446 b=7.6446 c=7.6446 alpha=90.00 beta=90.00 gamma=90.00
With the nearest neighbours (Å) after each atom.
Element x y z (fractional)
Tl 0.5000 0.5000 0.5000  12 Bi 4.27, 12 Li 4.27
Tl 0.0000 0.0000 0.0000  12 Bi 4.27, 12 Li 4.27
Bi 0.0000 0.2500 0.5000  4 Li 2.70
Bi 0.0000 0.7500 0.5000  4 Li 2.70
Bi 0.5000 0.0000 0.7500  4 Li 2.70
Bi 0.7500 0.5000 0.0000  4 Li 2.70
Bi 0.5000 0.0000 0.2500  4 Li 2.70
Bi 0.2500 0.5000 0.0000  4 Li 2.70
Li 0.2500 0.0000 0.5000  4 Bi 2.70
Li 0.0000 0.5000 0.2500  4 Bi 2.70
Li 0.5000 0.7500 0.0000  4 Bi 2.70
Li 0.7500 0.0000 0.5000  4 Bi 2.70
Li 0.0000 0.5000 0.7500  4 Bi 2.70
Li 0.5000 0.2500 0.0000  4 Bi 2.70

DFT (PBE) results for crystalline Ce3Sb at its relaxed geometry.

raw formation energy	-0.566	eV per atom
theoretical density	8.40	g/cm³
total DFT energy (no corrections)	-24.189	eV for the cell shown
crystal system	cubic

Unit cell a=4.7480 b=4.7495 c=4.7504 alpha=90.00 beta=90.00 gamma=90.00
With the nearest neighbours (Å) after each atom.
Element x y z (fractional)
Sb 0.0000 0.5000 0.4167  12 Ce 3.36
Ce 0.0000 0.0000 0.9166  8 Ce 3.36, 4 Sb 3.36
Ce 0.5000 0.0000 0.4166  4 Sb 3.36, 8 Ce 3.36
Ce 0.5000 0.5000 0.9168  8 Ce 3.36, 4 Sb 3.36

DFT (PBE) results for crystalline AcDy2NpN4 at its relaxed geometry.

raw formation energy	-1.102	eV per atom
theoretical density	10.14	g/cm³
total DFT energy (no corrections)	-136.743	eV for the cell shown
crystal system	orthorhombic

Unit cell a=3.5795 b=6.3960 c=12.5959 alpha=90.00 beta=90.00 gamma=106.25
With the nearest neighbours (Å) after each atom.
Element x y z (fractional)
Ac 0.1478 0.2956 0.7500  6 N 2.70-2.79
Ac 0.8522 0.7044 0.2500  6 N 2.70-2.79
Dy 0.3700 0.7400 0.5231  5 N 2.33-2.56
Dy 0.6300 0.2600 0.0231  5 N 2.33-2.56
Dy 0.6300 0.2600 0.4769  5 N 2.33-2.56
Dy 0.3700 0.7400 0.9769  5 N 2.33-2.56
Np 0.8796 0.7592 0.7500  4 N 2.19-2.28
Np 0.1204 0.2408 0.2500  4 N 2.19-2.28
N 0.2448 0.4897 0.1160  1 Np 2.28, 1 Dy 2.33
N 0.7552 0.5103 0.6160  1 Np 2.28, 1 Dy 2.33
N 0.7552 0.5103 0.8840  1 Np 2.28, 1 Dy 2.33
N 0.2448 0.4897 0.3840  1 Np 2.28, 1 Dy 2.33
N 0.0000 0.0000 0.5000  4 Dy 2.42
N 0.0000 0.0000 0.0000  4 Dy 2.42
N 0.4829 0.9659 0.7500  2 Np 2.19
N 0.5171 0.0341 0.2500  2 Np 2.19